VASP calculation (PBE) on crystalline LiPb at its relaxed geometry.

Output
For the formation energy, the calculation gives -0.182 eV/atom. As for the total magnetization: 0.0 μB/f.u. The uncorrected energy comes out at -2.993 eV/atom. The density of states at the Fermi level comes out at 0.13 states/eV per atom.

a = 3.9833 Å, b = 3.9833 Å, c = 5.9882 Å
α = 90.00°, β = 90.00°, γ = 90.00°
Fractional positions:
Li 0.2500 0.2500 0.1351
Li 0.7500 0.7500 0.8649
Pb 0.2500 0.2500 0.6452
Pb 0.7500 0.7500 0.3548